{
  "formula": "ScAsH2Br",
  "functional": "PBE",
  "state": "relaxed",
  "lattice": [[3.679, 0.000, 0.000], [0.000, 3.679, 0.000], [0.000, 0.000, 7.275]],
  "species": ["Sc", "As", "H", "H", "Br"],
  "fractional_positions": [[0.000, 0.000, 0.000], [0.500, 0.500, 0.500], [0.000, 0.500, 0.500], [0.500, 0.000, 0.500], [0.500, 0.500, 0.000]],
  "sg": "P4/mmm, No. 123",
  "magnetic_moment_mub_per_fu": 0.00,
  "dft_energy_ev_per_atom": -3.649,
  "density_g_cm3": 3.402
}